VASP calculation (PBE) on a geometry-optimized Ba2NaMgTl structure.

Cell lengths 6.841, 6.841, 5.408 Å; angles 90.00, 90.00, 90.00 degrees
Space group P4/mmm (No. 123)
Asymmetric unit:
1 Ba 0.000 0.500 0.000
2 Na 0.000 0.000 0.500
3 Mg 0.500 0.500 0.500
4 Tl 0.500 0.500 0.000

The value obtained for the energy of formation from the pure elements is 0.00 eV per formula unit. Its density of states at the Fermi level is 2.7 states/eV per cell. The calculation puts the total energy at -1.82 eV per atom.